1.
Crystalline PuPd3Br9 at its relaxed geometry. Source: Alexandria via LeMat-Bulk, functional PBE.

Values from the calculation:
The value obtained for the size of the total moment is 0.3869 μB/atom. The calculation puts the uncorrected formation energy at -626 meV/atom. For the total energy, the calculation gives -106.21 eV/cell. Its space-group type is Cc (9).

Unit cell a=10.2273 b=10.2273 c=15.7812 alpha=123.07 beta=123.07 gamma=43.17
Atoms (fractional coordinates):
1 Pu 0.1830 0.8170 0.5000
2 Pu 0.8170 0.1830 0.0000
3 Pd 0.0396 0.7823 0.7341
4 Pd 0.2322 0.2680 0.6995
5 Pd 0.2680 0.2322 0.1995
6 Pd 0.4314 0.7836 0.0923
7 Pd 0.7823 0.0396 0.2341
8 Pd 0.7836 0.4314 0.5923
9 Br 0.0494 0.2436 0.5121
10 Br 0.0495 0.7616 0.8864
11 Br 0.0588 0.1768 0.6983
12 Br 0.1412 0.8060 0.2939
13 Br 0.1768 0.0588 0.1983
14 Br 0.2331 0.4435 0.3796
15 Br 0.2436 0.0494 0.0121
16 Br 0.3142 0.4295 0.6886
17 Br 0.4295 0.3142 0.1886
18 Br 0.4435 0.2331 0.8796
19 Br 0.5195 0.6147 0.6707
20 Br 0.5526 0.6856 0.4977
21 Br 0.6147 0.5195 0.1707
22 Br 0.6856 0.5526 0.9977
23 Br 0.7616 0.0495 0.3864
24 Br 0.8060 0.1412 0.7939
25 Br 0.8138 0.9616 0.0645
26 Br 0.9616 0.8138 0.5645

2.
Crystalline Pu2PdBr at its relaxed geometry. Source: Alexandria via LeMat-Bulk, functional PBE.

Values from the calculation:
The value obtained for the size of the total moment is 2.8654 μB/atom. The calculation puts the uncorrected formation energy at -565 meV/atom. For the total energy, the calculation gives -113.36 eV/cell. Its space-group type is R-3m (166). The calculation puts the energy above the most stable polymorph in this dataset at 0.15 eV per formula unit.

Unit cell a=3.9652 b=3.9652 c=24.1224 alpha=90.00 beta=90.00 gamma=120.00
Atoms (fractional coordinates):
1 Pu 0.0000 0.0000 0.2384
2 Pu 0.0000 0.0000 0.7616
3 Pu 0.3333 0.6667 0.4283
4 Pu 0.3333 0.6667 0.9050
5 Pu 0.6667 0.3333 0.0950
6 Pu 0.6667 0.3333 0.5717
7 Pd 0.0000 0.0000 0.5000
8 Pd 0.3333 0.6667 0.1667
9 Pd 0.6667 0.3333 0.8333
10 Br 0.0000 0.0000 0.0000
11 Br 0.3333 0.6667 0.6667
12 Br 0.6667 0.3333 0.3333

3.
Crystalline RbPuPdBr6 at its relaxed geometry. Source: Alexandria via LeMat-Bulk, functional PBE.

Values from the calculation:
The value obtained for the size of the total moment is 0.3328 μB/atom. The calculation puts the uncorrected formation energy at -1129 meV/atom. For the total energy, the calculation gives -81.37 eV/cell. Its space-group type is P-31c (163).

Unit cell a=7.0684 b=7.0684 c=15.9057 alpha=90.00 beta=90.00 gamma=120.00
Atoms (fractional coordinates):
1 Rb 0.0000 0.0000 0.0000
2 Rb 0.0000 0.0000 0.5000
3 Pu 0.3333 0.6667 0.2500
4 Pu 0.6667 0.3333 0.7500
5 Pd 0.3333 0.6667 0.7500
6 Pd 0.6667 0.3333 0.2500
7 Br 0.0121 0.3691 0.6477
8 Br 0.0121 0.6430 0.8523
9 Br 0.3570 0.3691 0.8523
10 Br 0.3570 0.9879 0.6477
11 Br 0.3691 0.0121 0.1477
12 Br 0.3691 0.3570 0.3523
13 Br 0.6309 0.6430 0.6477
14 Br 0.6309 0.9879 0.8523
15 Br 0.6430 0.0121 0.3523
16 Br 0.6430 0.6309 0.1477
17 Br 0.9879 0.3570 0.1477
18 Br 0.9879 0.6309 0.3523

4.
Crystalline PuTlPdBr6 at its relaxed geometry. Source: Alexandria via LeMat-Bulk, functional PBE.

Values from the calculation:
The value obtained for the size of the total moment is 0.3312 μB/atom. The calculation puts the uncorrected formation energy at -922 meV/atom. For the total energy, the calculation gives -80.45 eV/cell. Its space-group type is P-31c (163).

Unit cell a=7.0615 b=7.0615 c=15.0159 alpha=90.00 beta=90.00 gamma=120.00
Atoms (fractional coordinates):
1 Pu 0.3333 0.6667 0.2500
2 Pu 0.6667 0.3333 0.7500
3 Tl 0.0000 0.0000 0.0000
4 Tl 0.0000 0.0000 0.5000
5 Pd 0.3333 0.6667 0.7500
6 Pd 0.6667 0.3333 0.2500
7 Br 0.0127 0.3678 0.6421
8 Br 0.0127 0.6449 0.8579
9 Br 0.3551 0.3678 0.8579
10 Br 0.3551 0.9873 0.6421
11 Br 0.3678 0.0127 0.1421
12 Br 0.3678 0.3551 0.3579
13 Br 0.6322 0.6449 0.6421
14 Br 0.6322 0.9873 0.8579
15 Br 0.6449 0.0127 0.3579
16 Br 0.6449 0.6322 0.1421
17 Br 0.9873 0.3551 0.1421
18 Br 0.9873 0.6322 0.3579

5.
Crystalline Rb4Pd3Br12 at its relaxed geometry. Source: Alexandria via LeMat-Bulk, functional PBE.

Values from the calculation:
The value obtained for the size of the total moment is 0.1326 μB/atom. The calculation puts the uncorrected formation energy at -817 meV/atom. For the total energy, the calculation gives -55.04 eV/cell. Its space-group type is Im-3 (204).

Unit cell a=10.4049 b=10.4049 c=10.4049 alpha=109.47 beta=109.47 gamma=109.47
Atoms (fractional coordinates):
1 Rb 0.0000 0.0000 0.5000
2 Rb 0.0000 0.5000 0.0000
3 Rb 0.5000 0.0000 0.0000
4 Rb 0.5000 0.5000 0.5000
5 Pd 0.0000 0.5000 0.5000
6 Pd 0.5000 0.0000 0.5000
7 Pd 0.5000 0.5000 0.0000
8 Br 0.1440 0.3554 0.4994
9 Br 0.1440 0.6446 0.7885
10 Br 0.2115 0.8560 0.3554
11 Br 0.3554 0.2115 0.8560
12 Br 0.3554 0.4994 0.1440
13 Br 0.4994 0.1440 0.3554
14 Br 0.5006 0.8560 0.6446
15 Br 0.6446 0.5006 0.8560
16 Br 0.6446 0.7885 0.1440
17 Br 0.7885 0.1440 0.6446
18 Br 0.8560 0.3554 0.2115
19 Br 0.8560 0.6446 0.5006

6.
Crystalline RbPd2Br at its relaxed geometry. Source: Alexandria via LeMat-Bulk, functional PBE.

Values from the calculation:
The value obtained for the size of the total moment is 0.0000 μB/atom. The calculation puts the uncorrected formation energy at 257 meV/atom. For the total energy, the calculation gives -48.00 eV/cell. Its space-group type is Fm-3m (225). The calculation puts the energy above the most stable polymorph in this dataset at 1.70 eV per formula unit.

Unit cell a=7.1341 b=7.1341 c=7.1341 alpha=90.00 beta=90.00 gamma=90.00
Atoms (fractional coordinates):
1 Rb 0.0000 0.0000 0.0000
2 Rb 0.0000 0.5000 0.5000
3 Rb 0.5000 0.0000 0.5000
4 Rb 0.5000 0.5000 0.0000
5 Pd 0.2500 0.2500 0.2500
6 Pd 0.2500 0.2500 0.7500
7 Pd 0.2500 0.7500 0.2500
8 Pd 0.2500 0.7500 0.7500
9 Pd 0.7500 0.2500 0.2500
10 Pd 0.7500 0.2500 0.7500
11 Pd 0.7500 0.7500 0.2500
12 Pd 0.7500 0.7500 0.7500
13 Br 0.0000 0.0000 0.5000
14 Br 0.0000 0.5000 0.0000
15 Br 0.5000 0.0000 0.0000
16 Br 0.5000 0.5000 0.5000